Entry 1:
! TbBeIr | the Alexandria database | PBE | optimized geometry; values from VASP
&SYSTEM
  ibrav = 0, nat = 12, ntyp = 3
/
ATOMIC_SPECIES
Tb 158.93 Tb.upf
Be 9.01 Be.upf
Ir 192.22 Ir.upf
CELL_PARAMETERS angstrom
6.546 0.000 0.000
0.000 6.546 0.000
0.000 0.000 5.595
ATOMIC_POSITIONS crystal
Tb 0.219 0.219 0.000
Tb 0.281 0.719 0.250
Tb 0.719 0.281 0.750
Tb 0.781 0.781 0.500
Be 0.098 0.098 0.500
Be 0.402 0.598 0.750
Be 0.598 0.402 0.250
Be 0.902 0.902 0.000
Ir 0.157 0.843 0.750
Ir 0.343 0.343 0.500
Ir 0.657 0.657 0.000
Ir 0.843 0.157 0.250
! SG = No. 92
! polymorph energy (0 for the lowest one) = 381 meV/atom
! energy relative to the elements = -277 meV/atom

---

Entry 2:
! Sr2SnBi | the Alexandria database | PBE | optimized geometry; values from VASP
&SYSTEM
  ibrav = 0, nat = 16, ntyp = 3
/
ATOMIC_SPECIES
Sr 87.62 Sr.upf
Sn 118.71 Sn.upf
Bi 208.98 Bi.upf
CELL_PARAMETERS angstrom
10.523 0.000 0.000
0.000 6.876 0.000
-5.129 0.000 9.051
ATOMIC_POSITIONS crystal
Sr 0.157 0.250 0.079
Sr 0.157 0.250 0.579
Sr 0.234 0.736 0.366
Sr 0.234 0.764 0.866
Sr 0.766 0.236 0.134
Sr 0.766 0.264 0.634
Sr 0.843 0.750 0.421
Sr 0.843 0.750 0.921
Sn 0.395 0.184 0.448
Sn 0.395 0.316 0.948
Sn 0.605 0.684 0.052
Sn 0.605 0.816 0.552
Bi 0.499 0.501 0.710
Bi 0.499 0.999 0.210
Bi 0.501 0.001 0.790
Bi 0.501 0.499 0.290
! SG = No. 14
! polymorph energy (0 for the lowest one) = 326 meV/atom
! energy relative to the elements = -342 meV/atom

---

Entry 3:
! Sc3BiB | the Alexandria database | PBE | optimized geometry; values from VASP
&SYSTEM
  ibrav = 0, nat = 10, ntyp = 3
/
ATOMIC_SPECIES
Sc 44.96 Sc.upf
Bi 208.98 Bi.upf
B 10.81 B.upf
CELL_PARAMETERS angstrom
3.274 -6.941 0.000
3.274 6.941 0.000
0.000 0.000 4.652
ATOMIC_POSITIONS crystal
Sc 0.000 0.500 0.500
Sc 0.129 0.871 0.000
Sc 0.240 0.240 0.500
Sc 0.500 0.000 0.500
Sc 0.760 0.760 0.500
Sc 0.871 0.129 0.000
Bi 0.364 0.636 0.000
Bi 0.636 0.364 0.000
B 0.128 0.872 0.500
B 0.872 0.128 0.500
! SG = No. 65
! polymorph energy (0 for the lowest one) = 63 meV/atom
! energy relative to the elements = -504 meV/atom

---

Entry 4:
! KSbIrI2 | the Alexandria database | PBE | optimized geometry; values from VASP
&SYSTEM
  ibrav = 0, nat = 5, ntyp = 4
/
ATOMIC_SPECIES
K 39.10 K.upf
Sb 121.76 Sb.upf
Ir 192.22 Ir.upf
I 126.90 I.upf
CELL_PARAMETERS angstrom
6.452 0.000 0.000
0.000 6.452 0.000
0.000 0.000 6.532
ATOMIC_POSITIONS crystal
K 0.000 0.000 0.000
Sb 0.000 0.000 0.500
Ir 0.500 0.500 0.500
I 0.000 0.500 0.000
I 0.500 0.000 0.000
! raw formation energy = 1.529 eV/atom
! SG = No. 123
! polymorph energy (0 for the lowest one) = 1725 meV/atom

---

Entry 5:
! Mg2TiHRh | the Alexandria database | PBE | optimized geometry; values from VASP
&SYSTEM
  ibrav = 0, nat = 5, ntyp = 4
/
ATOMIC_SPECIES
Mg 24.30 Mg.upf
Ti 47.87 Ti.upf
H 1.01 H.upf
Rh 102.91 Rh.upf
CELL_PARAMETERS angstrom
4.022 0.000 0.000
0.000 4.022 0.000
0.000 0.000 4.239
ATOMIC_POSITIONS crystal
Mg 0.000 0.500 0.000
Mg 0.500 0.000 0.000
Ti 0.000 0.000 0.500
H 0.000 0.000 0.000
Rh 0.500 0.500 0.500
! SG = No. 123
! DFT total energy = -4.548 eV per atom